*1*
Entry from Alexandria via LeMat-Bulk: LaNi3Pt after structural relaxation (PBE).

a = 4.6534 Å, b = 4.6534 Å, c = 4.6534 Å
α = 90.00°, β = 90.00°, γ = 90.00°
Site moments in Bohr magnetons follow the coordinates.
Sites, in units of the cell vectors:
Ni (0.0000, 0.5000, 0.0000)  0.39
Ni (0.0000, 0.0000, 0.5000)  0.77
Ni (0.5000, 0.0000, 0.0000)  0.34
Pt (0.0000, 0.0000, 0.0000)  0.33
La (0.5000, 0.5000, 0.5000)  -0.05

Size of the total moment   1.71 μB/f.u.

=====

*2*
Entry from Alexandria via LeMat-Bulk: LaNi3Pt after structural relaxation (PBE).

a = 4.5815 Å, b = 4.5815 Å, c = 4.5815 Å
α = 90.00°, β = 90.00°, γ = 90.00°
Sites, in units of the cell vectors:
Ni (0.0000, 0.5000, 0.0000)
Ni (0.0000, 0.0000, 0.5000)
Ni (0.5000, 0.0000, 0.0000)
Pt (0.5000, 0.5000, 0.5000)
La (0.0000, 0.0000, 0.0000)

Size of the total moment   0.00 μB/f.u.

=====

Which structure is the least stable? The one labeled *2*.

=====

*1*
Entry from Alexandria via LeMat-Bulk: La2Ni2Pt after structural relaxation (PBE).

a = 3.6210 Å, b = 3.6210 Å, c = 8.5173 Å
α = 77.73°, β = 77.73°, γ = 90.00°
Sites, in units of the cell vectors:
Ni (0.7500, 0.2500, 0.5000)
Ni (0.2500, 0.7500, 0.5000)
Pt (0.0000, 0.0000, 0.0000)
La (0.3873, 0.3873, 0.2253)
La (0.6127, 0.6127, 0.7747)

Size of the total moment   0.00 μB/f.u.

=====

*2*
Entry from Alexandria via LeMat-Bulk: La2Ni2Pt after structural relaxation (PBE).

a = 5.3727 Å, b = 5.3727 Å, c = 5.3515 Å
α = 59.87°, β = 59.87°, γ = 90.00°
Sites, in units of the cell vectors:
Ni (0.3456, 0.3456, 0.3088)
Ni (0.6544, 0.6544, 0.6912)
Pt (0.0000, 0.0000, 0.0000)
La (0.7500, 0.2500, 0.5000)
La (0.2500, 0.7500, 0.5000)

Size of the total moment   0.00 μB/f.u.

=====

*3*
Entry from Alexandria via LeMat-Bulk: La2Ni2Pt after structural relaxation (PBE).

a = 7.2344 Å, b = 7.2344 Å, c = 3.9091 Å
α = 90.00°, β = 90.00°, γ = 90.00°
Sites, in units of the cell vectors:
Ni (0.3809, 0.8809, 0.0000)
Ni (0.8809, 0.6191, 0.0000)
Ni (0.6191, 0.1191, 0.0000)
Ni (0.1191, 0.3809, 0.0000)
Pt (0.0000, 0.0000, 0.0000)
Pt (0.5000, 0.5000, 0.0000)
La (0.1855, 0.6855, 0.5000)
La (0.6855, 0.8145, 0.5000)
La (0.8145, 0.3145, 0.5000)
La (0.3145, 0.1855, 0.5000)

Size of the total moment   0.00 μB/f.u.

=====

Which structure is the least stable? The one labeled *1*.